Below is an optimized crystal structure of BaDyN, with properties calculated at the GGA-PBE level.

```
6
Lattice="3.734 0.000 0.000 0.001 6.731 0.000 1.861 3.269 6.813" Properties=species:S:1:pos:R:3 pbc="T T T"
Ba 0.933 2.813 1.652
Ba 4.662 7.187 5.162
Dy 2.794 3.818 5.563
Dy 2.801 6.182 1.251
N 0.935 5.470 0.124
N 4.661 4.530 6.689
```

Summary:
Offset from the most stable computed form = 0 meV per atom
Formation energy (no corrections) = -0.747 eV per atom
Crystal system = triclinic
Space group = P-1
Final energy = -5.697 eV per atom
V = 28.5 A^3/atom
Total moment = 0.001 μB/cell